Entry 1:
DFT (PBE) results for a relaxed structure of Hf2Cd2Au.

Lattice parameters (Å, degrees): 7.084 7.084 4.205 90.00 90.00 90.00
Fractional coordinates of all 10 atoms:
Cd 0.137 0.363 0.000
Cd 0.363 0.863 0.000
Cd 0.863 0.637 0.000
Cd 0.637 0.137 0.000
Hf 0.334 0.166 0.500
Hf 0.834 0.334 0.500
Hf 0.666 0.834 0.500
Hf 0.166 0.666 0.500
Au 0.500 0.500 0.000
Au 0.000 0.000 0.000

Properties
* energy of formation: 0.0765 eV/atom
* energy relative to the lowest polymorph listed for this composition: 0.0000 eV/atom
* total magnetization: 0.00 μB per formula unit

---

Entry 2:
DFT (PBE) results for a relaxed structure of Hf2CdAu.

Lattice parameters (Å, degrees): 7.786 7.786 6.260 51.55 51.55 90.00
Fractional coordinates of all 8 atoms:
Au 0.000 0.000 0.000
Au 0.750 0.250 0.500
Hf 0.875 0.907 0.750
Hf 0.093 0.625 0.250
Hf 0.375 0.343 0.750
Hf 0.657 0.125 0.250
Cd 0.250 0.750 0.500
Cd 0.500 0.500 0.000

Properties
* energy of formation: 0.1718 eV/atom
* total magnetization: 0.00 μB per formula unit

---

Q: Which value of total magnetization does entry 1 give?
A: 0.00 μB per formula unit

---

Q: What is the formula in the first record?
A: Hf2Cd2Au

---

Q: What is the energy of formation in the second record?
A: 0.1718 eV/atom

---

Q: What is the formula in the first record?
A: Hf2Cd2Au